# Ta2Pb (GGA-PBE, optimized geometry)
# VASP energy   -7.707 eV/atom
data_Ta2Pb
_cell_length_a 6.6283
_cell_length_b 6.6283
_cell_length_c 6.6283
_cell_angle_alpha 90.00
_cell_angle_beta 90.00
_cell_angle_gamma 90.00
_space_group_name_H-M_alt 'P a -3'
_space_group_IT_number 205
_space_group_name_Hall '-P 2ac 2ab 3'
loop_
_atom_site_label
_atom_site_type_symbol
_atom_site_fract_x
_atom_site_fract_y
_atom_site_fract_z
_atom_site_occupancy
Ta1 Ta 0.1145 0.1145 0.1145 1
Pb1 Pb 0.0000 0.0000 0.5000 1

***

# Ta3Pb (GGA-PBE, optimized geometry)
# VASP energy   -9.367 eV/atom
data_Ta3Pb
_cell_length_a 3.2244
_cell_length_b 3.2244
_cell_length_c 27.4109
_cell_angle_alpha 90.00
_cell_angle_beta 90.00
_cell_angle_gamma 120.00
_space_group_name_H-M_alt 'R -3 m'
_space_group_IT_number 166
_space_group_name_Hall '-R 3 2"'
loop_
_atom_site_label
_atom_site_type_symbol
_atom_site_fract_x
_atom_site_fract_y
_atom_site_fract_z
_atom_site_occupancy
Ta1 Ta 0.0000 0.0000 0.0000 1
Ta2 Ta 0.0000 0.0000 0.2574 1
Pb1 Pb 0.0000 0.0000 0.5000 1

***

# Ta2Pb (GGA-PBE, optimized geometry)
# VASP energy   -8.028 eV/atom
data_Ta2Pb
_cell_length_a 3.7055
_cell_length_b 3.7055
_cell_length_c 19.5397
_cell_angle_alpha 90.00
_cell_angle_beta 90.00
_cell_angle_gamma 90.00
_space_group_name_H-M_alt 'I 41/a m d'
_space_group_IT_number 141
loop_
_space_group_symop_operation_xyz
'x,y,z'
'-x,-y,-z'
'-y+1/4,x+3/4,z+1/4'
'y+1/4,-x+3/4,-z+1/4'
'-x+1/2,-y,z+1/2'
'x+1/2,y,-z+1/2'
'y+1/4,-x+1/4,z+3/4'
'-y+1/4,x+1/4,-z+3/4'
'x,-y,-z'
'-x,y,z'
'-y+1/4,-x+1/4,-z+3/4'
'y+1/4,x+1/4,z+3/4'
'-x+1/2,y,-z+1/2'
'x+1/2,-y,z+1/2'
'y+1/4,x+3/4,-z+1/4'
'-y+1/4,-x+3/4,z+1/4'
'x+1/2,y+1/2,z+1/2'
'-x+1/2,-y+1/2,-z+1/2'
'-y+3/4,x+1/4,z+3/4'
'y+3/4,-x+1/4,-z+3/4'
'-x,-y+1/2,z'
'x,y+1/2,-z'
'y+3/4,-x+3/4,z+1/4'
'-y+3/4,x+3/4,-z+1/4'
'x+1/2,-y+1/2,-z+1/2'
'-x+1/2,y+1/2,z+1/2'
'-y+3/4,-x+3/4,-z+1/4'
'y+3/4,x+3/4,z+1/4'
'-x,y+1/2,-z'
'x,-y+1/2,z'
'y+3/4,x+1/4,-z+3/4'
'-y+3/4,-x+1/4,z+3/4'
loop_
_atom_site_label
_atom_site_type_symbol
_atom_site_fract_x
_atom_site_fract_y
_atom_site_fract_z
_atom_site_occupancy
Ta1 Ta 0.0000 0.2500 0.3021 1
Pb1 Pb 0.0000 0.2500 0.8750 1

***

# TaPb (GGA-PBE, optimized geometry)
# Polymorph energy (0 for the lowest one)   0.123 eV/atom
data_TaPb
_cell_length_a 10.7348
_cell_length_b 3.4675
_cell_length_c 8.3262
_cell_angle_alpha 90.00
_cell_angle_beta 112.78
_cell_angle_gamma 90.00
_space_group_name_H-M_alt 'C 1 2/m 1'
_space_group_IT_number 12
loop_
_space_group_symop_operation_xyz
'x,y,z'
'-x,-y,-z'
'-x,y,-z'
'x,-y,z'
'x+1/2,y+1/2,z'
'-x+1/2,-y+1/2,-z'
'-x+1/2,y+1/2,-z'
'x+1/2,-y+1/2,z'
loop_
_atom_site_label
_atom_site_type_symbol
_atom_site_fract_x
_atom_site_fract_y
_atom_site_fract_z
_atom_site_occupancy
Ta1 Ta 0.0000 0.0000 0.0000 1
Ta2 Ta 0.1568 0.5000 0.8857 1
Pb1 Pb 0.0000 0.0000 0.5000 1
Pb2 Pb 0.1794 0.5000 0.2864 1

***

# Ta3Pb (GGA-PBE, optimized geometry)
# VASP energy   -9.552 eV/atom
data_Ta3Pb
_cell_length_a 3.5754
_cell_length_b 4.7136
_cell_length_c 9.2676
_cell_angle_alpha 90.00
_cell_angle_beta 90.00
_cell_angle_gamma 90.00
_space_group_name_H-M_alt 'I m m m'
_space_group_IT_number 71
_space_group_name_Hall '-I 2 2'
loop_
_atom_site_label
_atom_site_type_symbol
_atom_site_fract_x
_atom_site_fract_y
_atom_site_fract_z
_atom_site_occupancy
Ta1 Ta 0.0000 0.0000 0.0000 1
Ta2 Ta 0.0000 0.5000 0.2632 1
Pb1 Pb 0.0000 0.0000 0.5000 1

***

# TaPb (GGA-PBE, optimized geometry)
# Polymorph energy (0 for the lowest one)   0.214 eV/atom
data_TaPb
_cell_length_a 10.5354
_cell_length_b 3.5250
_cell_length_c 7.7300
_cell_angle_alpha 90.00
_cell_angle_beta 110.78
_cell_angle_gamma 90.00
_space_group_name_H-M_alt 'C 1 m 1'
_space_group_IT_number 8
loop_
_space_group_symop_operation_xyz
'x,y,z'
'x,-y,z'
'x+1/2,y+1/2,z'
'x+1/2,-y+1/2,z'
loop_
_atom_site_label
_atom_site_type_symbol
_atom_site_fract_x
_atom_site_fract_y
_atom_site_fract_z
_atom_site_occupancy
Ta1 Ta 0.0000 0.0000 0.0000 1
Ta2 Ta 0.0190 0.0000 0.4645 1
Ta3 Ta 0.3822 0.0000 0.1780 1
Pb1 Pb 0.1787 0.5000 0.8429 1
Pb2 Pb 0.1861 0.5000 0.2949 1
Pb3 Pb 0.3529 0.0000 0.6498 1

***

# Ta3Pb (GGA-PBE, optimized geometry)
# VASP energy   -9.424 eV/atom
data_Ta3Pb
_cell_length_a 4.2966
_cell_length_b 4.2966
_cell_length_c 8.4702
_cell_angle_alpha 90.00
_cell_angle_beta 90.00
_cell_angle_gamma 90.00
_space_group_name_H-M_alt 'I 4/m m m'
_space_group_IT_number 139
_space_group_name_Hall '-I 4 2'
loop_
_atom_site_label
_atom_site_type_symbol
_atom_site_fract_x
_atom_site_fract_y
_atom_site_fract_z
_atom_site_occupancy
Ta1 Ta 0.0000 0.0000 0.0000 1
Ta2 Ta 0.0000 0.5000 0.2500 1
Pb1 Pb 0.0000 0.0000 0.5000 1

***

# Ta3Pb (GGA-PBE, optimized geometry)
# VASP energy   -9.441 eV/atom
data_Ta3Pb
_cell_length_a 9.5927
_cell_length_b 9.5927
_cell_length_c 2.9531
_cell_angle_alpha 90.00
_cell_angle_beta 90.00
_cell_angle_gamma 120.00
_space_group_name_H-M_alt 'R -3 m'
_space_group_IT_number 166
_space_group_name_Hall '-R 3 2"'
loop_
_atom_site_label
_atom_site_type_symbol
_atom_site_fract_x
_atom_site_fract_y
_atom_site_fract_z
_atom_site_occupancy
Ta1 Ta 0.0000 0.5000 0.0000 1
Pb1 Pb 0.0000 0.0000 0.0000 1

***

# Ta2Pb (GGA-PBE, optimized geometry)
# VASP energy   -8.282 eV/atom
data_Ta2Pb
_cell_length_a 3.8233
_cell_length_b 3.8233
_cell_length_c 4.7773
_cell_angle_alpha 90.00
_cell_angle_beta 90.00
_cell_angle_gamma 90.00
_space_group_name_H-M_alt 'P 4/m m m'
_space_group_IT_number 123
_space_group_name_Hall '-P 4 2'
loop_
_atom_site_label
_atom_site_type_symbol
_atom_site_fract_x
_atom_site_fract_y
_atom_site_fract_z
_atom_site_occupancy
Ta1 Ta 0.0000 0.5000 0.0000 1
Pb1 Pb 0.0000 0.0000 0.5000 1

***

# TaPb (GGA-PBE, optimized geometry)
# Polymorph energy (0 for the lowest one)   0.282 eV/atom
data_TaPb
_cell_length_a 10.9064
_cell_length_b 3.2917
_cell_length_c 5.3516
_cell_angle_alpha 90.00
_cell_angle_beta 109.74
_cell_angle_gamma 90.00
_space_group_name_H-M_alt 'C 1 2/m 1'
_space_group_IT_number 12
loop_
_space_group_symop_operation_xyz
'x,y,z'
'-x,-y,-z'
'-x,y,-z'
'x,-y,z'
'x+1/2,y+1/2,z'
'-x+1/2,-y+1/2,-z'
'-x+1/2,y+1/2,-z'
'x+1/2,-y+1/2,z'
loop_
_atom_site_label
_atom_site_type_symbol
_atom_site_fract_x
_atom_site_fract_y
_atom_site_fract_z
_atom_site_occupancy
Ta1 Ta 0.1527 0.0000 0.3604 1
Pb1 Pb 0.1086 0.5000 0.8229 1

***

# Ta3Pb (GGA-PBE, optimized geometry)
# VASP energy   -9.496 eV/atom
data_Ta3Pb
_cell_length_a 6.3653
_cell_length_b 6.4232
_cell_length_c 3.7853
_cell_angle_alpha 90.00
_cell_angle_beta 90.00
_cell_angle_gamma 90.00
_space_group_name_H-M_alt 'C m m m'
_space_group_IT_number 65
_space_group_name_Hall '-C 2 2'
loop_
_atom_site_label
_atom_site_type_symbol
_atom_site_fract_x
_atom_site_fract_y
_atom_site_fract_z
_atom_site_occupancy
Ta1 Ta 0.0000 0.0000 0.0000 1
Ta2 Ta 0.2500 0.2500 0.5000 1
Pb1 Pb 0.0000 0.5000 0.0000 1

***

# Ta3Pb (GGA-PBE, optimized geometry)
# VASP energy   -9.406 eV/atom
data_Ta3Pb
_cell_length_a 10.0129
_cell_length_b 3.0073
_cell_length_c 5.3235
_cell_angle_alpha 90.00
_cell_angle_beta 98.08
_cell_angle_gamma 90.00
_space_group_name_H-M_alt 'C 1 2/m 1'
_space_group_IT_number 12
loop_
_space_group_symop_operation_xyz
'x,y,z'
'-x,-y,-z'
'-x,y,-z'
'x,-y,z'
'x+1/2,y+1/2,z'
'-x+1/2,-y+1/2,-z'
'-x+1/2,y+1/2,-z'
'x+1/2,-y+1/2,z'
loop_
_atom_site_label
_atom_site_type_symbol
_atom_site_fract_x
_atom_site_fract_y
_atom_site_fract_z
_atom_site_occupancy
Ta1 Ta 0.0000 0.0000 0.0000 1
Ta2 Ta 0.2490 0.5000 0.2391 1
Pb1 Pb 0.0000 0.5000 0.5000 1

***

# Ta2Pb (GGA-PBE, optimized geometry)
# VASP energy   -8.756 eV/atom
data_Ta2Pb
_cell_length_a 5.7599
_cell_length_b 4.7148
_cell_length_c 8.8382
_cell_angle_alpha 90.00
_cell_angle_beta 90.00
_cell_angle_gamma 90.00
_space_group_name_H-M_alt 'P n m a'
_space_group_IT_number 62
loop_
_space_group_symop_operation_xyz
'x,y,z'
'-x,-y,-z'
'-x+1/2,-y,z+1/2'
'x+1/2,y,-z+1/2'
'x+1/2,-y+1/2,-z+1/2'
'-x+1/2,y+1/2,z+1/2'
'-x,y+1/2,-z'
'x,-y+1/2,z'
loop_
_atom_site_label
_atom_site_type_symbol
_atom_site_fract_x
_atom_site_fract_y
_atom_site_fract_z
_atom_site_occupancy
Ta1 Ta 0.1297 0.2500 0.0453 1
Ta2 Ta 0.1434 0.2500 0.7213 1
Pb1 Pb 0.1362 0.2500 0.3809 1

***

# TaPb (GGA-PBE, optimized geometry)
# Polymorph energy (0 for the lowest one)   0.855 eV/atom
data_TaPb
_cell_length_a 5.7595
_cell_length_b 5.7595
_cell_length_c 5.7595
_cell_angle_alpha 90.00
_cell_angle_beta 90.00
_cell_angle_gamma 90.00
_space_group_name_H-M_alt 'F m -3 m'
_space_group_IT_number 225
_space_group_name_Hall '-F 4 2 3'
loop_
_atom_site_label
_atom_site_type_symbol
_atom_site_fract_x
_atom_site_fract_y
_atom_site_fract_z
_atom_site_occupancy
Ta1 Ta 0.0000 0.0000 0.0000 1
Pb1 Pb 0.0000 0.0000 0.5000 1

***

# Ta3Pb (GGA-PBE, optimized geometry)
# VASP energy   -9.343 eV/atom
data_Ta3Pb
_cell_length_a 2.9289
_cell_length_b 2.9289
_cell_length_c 9.4436
_cell_angle_alpha 90.00
_cell_angle_beta 90.00
_cell_angle_gamma 90.00
_space_group_name_H-M_alt 'P 4/m m m'
_space_group_IT_number 123
_space_group_name_Hall '-P 4 2'
loop_
_atom_site_label
_atom_site_type_symbol
_atom_site_fract_x
_atom_site_fract_y
_atom_site_fract_z
_atom_site_occupancy
Ta1 Ta 0.0000 0.0000 0.0000 1
Ta2 Ta 0.5000 0.5000 0.2386 1
Pb1 Pb 0.0000 0.0000 0.5000 1

***

# Ta3Pb (GGA-PBE, optimized geometry)
# VASP energy   -9.584 eV/atom
data_Ta3Pb
_cell_length_a 3.5360
_cell_length_b 3.5360
_cell_length_c 6.2753
_cell_angle_alpha 90.00
_cell_angle_beta 90.00
_cell_angle_gamma 90.00
_space_group_name_H-M_alt 'P 4/m m m'
_space_group_IT_number 123
_space_group_name_Hall '-P 4 2'
loop_
_atom_site_label
_atom_site_type_symbol
_atom_site_fract_x
_atom_site_fract_y
_atom_site_fract_z
_atom_site_occupancy
Ta1 Ta 0.0000 0.0000 0.0000 1
Ta2 Ta 0.5000 0.5000 0.2287 1
Pb1 Pb 0.0000 0.0000 0.5000 1

***

# Ta3Pb (GGA-PBE, optimized geometry)
# VASP energy   -9.351 eV/atom
data_Ta3Pb
_cell_length_a 2.9831
_cell_length_b 4.9655
_cell_length_c 5.3651
_cell_angle_alpha 90.00
_cell_angle_beta 90.00
_cell_angle_gamma 90.00
_space_group_name_H-M_alt 'P m m 2'
_space_group_IT_number 25
loop_
_space_group_symop_operation_xyz
'x,y,z'
'-x,-y,z'
'-x,y,z'
'x,-y,z'
loop_
_atom_site_label
_atom_site_type_symbol
_atom_site_fract_x
_atom_site_fract_y
_atom_site_fract_z
_atom_site_occupancy
Ta1 Ta 0.0000 0.0000 0.0000 1
Ta2 Ta 0.0000 0.5000 0.2956 1
Ta3 Ta 0.5000 0.5000 0.8275 1
Pb1 Pb 0.5000 0.0000 0.5014 1

***

# TaPb (GGA-PBE, optimized geometry)
# Polymorph energy (0 for the lowest one)   0.129 eV/atom
data_TaPb
_cell_length_a 3.3543
_cell_length_b 3.3543
_cell_length_c 29.2693
_cell_angle_alpha 90.00
_cell_angle_beta 90.00
_cell_angle_gamma 120.00
_space_group_name_H-M_alt 'R -3 m'
_space_group_IT_number 166
_space_group_name_Hall '-R 3 2"'
loop_
_atom_site_label
_atom_site_type_symbol
_atom_site_fract_x
_atom_site_fract_y
_atom_site_fract_z
_atom_site_occupancy
Ta1 Ta 0.0000 0.0000 0.1339 1
Pb1 Pb 0.0000 0.0000 0.3828 1

***

# TaPb (GGA-PBE, optimized geometry)
# Polymorph energy (0 for the lowest one)   0.448 eV/atom
data_TaPb
_cell_length_a 4.3016
_cell_length_b 4.3016
_cell_length_c 9.3539
_cell_angle_alpha 90.00
_cell_angle_beta 90.00
_cell_angle_gamma 90.00
_space_group_name_H-M_alt 'I 41/a m d'
_space_group_IT_number 141
loop_
_space_group_symop_operation_xyz
'x,y,z'
'-x,-y,-z'
'-y+1/4,x+3/4,z+1/4'
'y+1/4,-x+3/4,-z+1/4'
'-x+1/2,-y,z+1/2'
'x+1/2,y,-z+1/2'
'y+1/4,-x+1/4,z+3/4'
'-y+1/4,x+1/4,-z+3/4'
'x,-y,-z'
'-x,y,z'
'-y+1/4,-x+1/4,-z+3/4'
'y+1/4,x+1/4,z+3/4'
'-x+1/2,y,-z+1/2'
'x+1/2,-y,z+1/2'
'y+1/4,x+3/4,-z+1/4'
'-y+1/4,-x+3/4,z+1/4'
'x+1/2,y+1/2,z+1/2'
'-x+1/2,-y+1/2,-z+1/2'
'-y+3/4,x+1/4,z+3/4'
'y+3/4,-x+1/4,-z+3/4'
'-x,-y+1/2,z'
'x,y+1/2,-z'
'y+3/4,-x+3/4,z+1/4'
'-y+3/4,x+3/4,-z+1/4'
'x+1/2,-y+1/2,-z+1/2'
'-x+1/2,y+1/2,z+1/2'
'-y+3/4,-x+3/4,-z+1/4'
'y+3/4,x+3/4,z+1/4'
'-x,y+1/2,-z'
'x,-y+1/2,z'
'y+3/4,x+1/4,-z+3/4'
'-y+3/4,-x+1/4,z+3/4'
loop_
_atom_site_label
_atom_site_type_symbol
_atom_site_fract_x
_atom_site_fract_y
_atom_site_fract_z
_atom_site_occupancy
Ta1 Ta 0.0000 0.2500 0.3750 1
Pb1 Pb 0.0000 0.2500 0.8750 1

***

# Ta2Pb (GGA-PBE, optimized geometry)
# VASP energy   -8.663 eV/atom
data_Ta2Pb
_cell_length_a 11.2978
_cell_length_b 3.0041
_cell_length_c 7.3521
_cell_angle_alpha 90.00
_cell_angle_beta 100.65
_cell_angle_gamma 90.00
_space_group_name_H-M_alt 'C 1 m 1'
_space_group_IT_number 8
loop_
_space_group_symop_operation_xyz
'x,y,z'
'x,-y,z'
'x+1/2,y+1/2,z'
'x+1/2,-y+1/2,z'
loop_
_atom_site_label
_atom_site_type_symbol
_atom_site_fract_x
_atom_site_fract_y
_atom_site_fract_z
_atom_site_occupancy
Ta1 Ta 0.0000 0.0000 0.0000 1
Ta2 Ta 0.0765 0.0000 0.6407 1
Ta3 Ta 0.2326 0.5000 0.9602 1
Ta4 Ta 0.3897 0.0000 0.2881 1
Pb1 Pb 0.1549 0.5000 0.3240 1
Pb2 Pb 0.3506 0.0000 0.6791 1